A geometry-optimized Be2PPd2 structure, computed with PBE-GGA. Values from VASP.

Results
E above lowest polymorph in eV per atom: 0.000
Density of states at the Fermi level in states/eV per atom: 0.405
Energy of formation in meV per atom: -266
Magnetic moment in Bohr magnetons per cell: 0.00
Total energy in eV per atom: -4.916

The structure in Quantum ESPRESSO input format:
```
&SYSTEM
  ibrav = 0, nat = 10, ntyp = 3
/
ATOMIC_SPECIES
P 30.97 P.upf
Pd 106.42 Pd.upf
Be 9.01 Be.upf
CELL_PARAMETERS angstrom
-3.758 -2.145 3.979
-3.745 -1.419 -4.302
1.504 -3.142 -0.273
ATOMIC_POSITIONS crystal
P 0.000 0.000 0.000
P 0.500 0.500 0.000
Pd 0.165 0.665 0.500
Pd 0.665 0.835 0.500
Pd 0.835 0.335 0.500
Pd 0.335 0.165 0.500
Be 0.368 0.868 0.000
Be 0.868 0.632 0.000
Be 0.632 0.132 0.000
Be 0.132 0.368 0.000
```

---

A geometry-optimized Ti4TcNi3 structure, computed with PBE-GGA. Values from VASP.

Results
Density of states at the Fermi level in states/eV per atom: 1.267
Energy of formation in meV per atom: -417
Magnetic moment in Bohr magnetons per cell: 0.00
Total energy in eV per atom: -7.828

The structure in Quantum ESPRESSO input format:
```
&SYSTEM
  ibrav = 0, nat = 16, ntyp = 3
/
ATOMIC_SPECIES
Ni 58.69 Ni.upf
Tc 98.00 Tc.upf
Ti 47.87 Ti.upf
CELL_PARAMETERS angstrom
-3.896 0.391 -1.760
0.010 -5.920 -1.335
-3.605 -1.719 7.599
ATOMIC_POSITIONS crystal
Ni 0.000 0.000 0.000
Ni 0.000 0.000 0.500
Ni 0.500 0.000 0.750
Ni 0.500 0.000 0.250
Ni 0.500 0.500 0.750
Ni 0.500 0.500 0.250
Tc 0.000 0.500 0.000
Tc 0.000 0.500 0.500
Ti 0.500 0.752 0.000
Ti 0.500 0.752 0.500
Ti 0.500 0.248 0.000
Ti 0.500 0.248 0.500
Ti 0.000 0.752 0.750
Ti 0.000 0.752 0.250
Ti 0.000 0.248 0.250
Ti 0.000 0.248 0.750
```

---

A geometry-optimized KPrReO6 structure, computed with PBE-GGA. Values from VASP.

Results
Magnetic moment in Bohr magnetons per cell: 1.03
ΔE_f (raw) in eV/atom: -1.92
Total energy in eV per atom: -7.266

The structure in Quantum ESPRESSO input format:
```
&SYSTEM
  ibrav = 0, nat = 9, ntyp = 4
/
ATOMIC_SPECIES
K 39.10 K.upf
Pr 140.91 Pr.upf
Re 186.21 Re.upf
O 16.00 O.upf
CELL_PARAMETERS angstrom
-4.405 -3.206 -2.178
0.757 -5.352 -2.014
-1.076 -1.871 5.275
ATOMIC_POSITIONS crystal
K 0.997 0.011 0.021
Pr 0.675 0.656 0.564
Re 0.346 0.335 0.456
O 0.035 0.402 0.298
O 0.305 0.098 0.684
O 0.623 0.305 0.660
O 0.091 0.570 0.716
O 0.356 0.605 0.311
O 0.573 0.019 0.291
```

---

A geometry-optimized NaAlFe2Ru structure, computed with PBE-GGA. Values from VASP.

Results
Density of states at the Fermi level in states/eV per atom: 1.045
Energy of formation in meV per atom: 1466
Magnetic moment in Bohr magnetons per cell: 6.48
Total energy in eV per atom: -4.786

The structure in Quantum ESPRESSO input format:
```
&SYSTEM
  ibrav = 0, nat = 5, ntyp = 4
/
ATOMIC_SPECIES
Ru 101.07 Ru.upf
Na 22.99 Na.upf
Fe 55.84 Fe.upf
Al 26.98 Al.upf
CELL_PARAMETERS angstrom
4.415 0.000 0.000
0.000 4.663 0.000
0.000 0.000 4.415
ATOMIC_POSITIONS crystal
Ru 0.500 0.500 0.500
Na 0.000 0.500 0.000
Fe 0.000 0.000 0.500
Fe 0.500 0.000 0.000
Al 0.000 0.000 0.000
```

---

A geometry-optimized CoP2I structure, computed with PBE-GGA. Values from VASP.

Results
E above lowest polymorph in eV per atom: 0.978
Density of states at the Fermi level in states/eV per atom: 1.193
Magnetic moment in Bohr magnetons per cell: 1.10
ΔE_f (raw) in eV/atom: 1.17
Total energy in eV per atom: -3.703

The structure in Quantum ESPRESSO input format:
```
&SYSTEM
  ibrav = 0, nat = 4, ntyp = 3
/
ATOMIC_SPECIES
I 126.90 I.upf
P 30.97 P.upf
Co 58.93 Co.upf
CELL_PARAMETERS angstrom
-2.136 -2.207 -3.417
-4.288 1.170 -1.164
-0.794 2.151 -3.981
ATOMIC_POSITIONS crystal
I 0.500 0.500 0.500
P 0.250 0.250 0.250
P 0.750 0.750 0.750
Co 0.000 0.000 0.000
```

---

A geometry-optimized LiMg6Si structure, computed with PBE-GGA. Values from VASP.

Results
Density of states at the Fermi level in states/eV per atom: 0.536
Magnetic moment in Bohr magnetons per cell: 0.00
ΔE_f (raw) in eV/atom: 0.02
Total energy in eV per atom: -2.097

The structure in Quantum ESPRESSO input format:
```
&SYSTEM
  ibrav = 0, nat = 8, ntyp = 3
/
ATOMIC_SPECIES
Li 6.94 Li.upf
Mg 24.30 Mg.upf
Si 28.09 Si.upf
CELL_PARAMETERS angstrom
3.148 -5.335 0.000
3.148 5.335 0.000
0.000 0.000 4.920
ATOMIC_POSITIONS crystal
Li 0.169 0.831 0.000
Mg 0.169 0.349 0.000
Mg 0.651 0.831 0.000
Mg 0.664 0.336 0.000
Mg 0.335 0.155 0.500
Mg 0.845 0.665 0.500
Mg 0.835 0.165 0.500
Si 0.333 0.667 0.500
```

---

A geometry-optimized Pb4Au5 structure, computed with PBE-GGA. Values from VASP.

Results
Density of states at the Fermi level in states/eV per atom: 0.489
Energy of formation in meV per atom: 10
Magnetic moment in Bohr magnetons per cell: 0.00
Total energy in eV per atom: -3.459

The structure in Quantum ESPRESSO input format:
```
&SYSTEM
  ibrav = 0, nat = 9, ntyp = 2
/
ATOMIC_SPECIES
Pb 207.20 Pb.upf
Au 196.97 Au.upf
CELL_PARAMETERS angstrom
4.440 0.000 1.131
2.220 6.838 0.566
0.532 0.000 7.192
ATOMIC_POSITIONS crystal
Pb 0.304 0.696 0.696
Pb 0.696 0.304 0.304
Pb 0.000 0.304 0.696
Pb 0.000 0.696 0.304
Au 0.000 0.000 0.000
Au 0.341 0.000 0.317
Au 0.659 0.000 0.683
Au 0.659 0.683 0.000
Au 0.341 0.317 0.000
```

---

A geometry-optimized Pm3HoN4 structure, computed with PBE-GGA. Values from VASP.

Results
E above lowest polymorph in eV per atom: 0.000
Density of states at the Fermi level in states/eV per atom: 0.090
Magnetic moment in Bohr magnetons per cell: 0.00
ΔE_f (raw) in eV/atom: -1.50
Total energy in eV per atom: -8.014

The structure in Quantum ESPRESSO input format:
```
&SYSTEM
  ibrav = 0, nat = 16, ntyp = 3
/
ATOMIC_SPECIES
N 14.01 N.upf
Ho 164.93 Ho.upf
Pm 145.00 Pm.upf
CELL_PARAMETERS angstrom
-2.707 -4.551 -3.204
4.570 2.460 -3.374
4.602 -4.708 2.799
ATOMIC_POSITIONS crystal
N 0.995 0.247 0.633
N 0.502 0.243 0.876
N 0.495 0.247 0.367
N 0.002 0.243 0.124
N 0.998 0.757 0.876
N 0.505 0.753 0.633
N 0.498 0.757 0.124
N 0.005 0.753 0.367
Ho 0.750 0.000 0.875
Ho 0.250 0.000 0.125
Pm 0.750 0.000 0.372
Pm 0.250 0.000 0.628
Pm 0.750 0.500 0.628
Pm 0.750 0.500 0.124
Pm 0.250 0.500 0.372
Pm 0.250 0.500 0.876
```